1.
Below is Pr4Er5Tm3 after structural relaxation, with properties calculated at the GGA-PBE level.

Lattice parameters (Å, degrees): 5.919 8.571 9.638 104.94 72.12 69.80
Site moments in Bohr magnetons follow the coordinates.
Fractional positions:
Er: 0.636 0.932 0.795  0.01
Er: 0.792 0.539 0.878  0.02
Er: 0.500 0.500 0.500  0.22
Er: 0.208 0.461 0.122  0.02
Er: 0.364 0.068 0.205  0.01
Tm: 0.526 0.690 0.259  0.01
Tm: 0.474 0.310 0.741  0.01
Tm: 0.000 0.500 0.500  0.23
Pr: 0.136 0.777 0.950  0.01
Pr: 0.864 0.223 0.050  0.01
Pr: 0.167 0.051 0.616  0.00
Pr: 0.833 0.949 0.384  0.00

=====

2.
Below is Pr4ErTm3 after structural relaxation, with properties calculated at the GGA-PBE level.

Lattice parameters (Å, degrees): 5.108 10.164 10.215 90.00 90.00 90.00
Fractional positions:
Pr: 0.564 0.131 0.500
Pr: 0.064 0.869 0.500
Pr: 0.564 0.869 0.250
Pr: 0.064 0.131 0.750
Pr: 0.564 0.869 0.750
Pr: 0.064 0.869 0.000
Pr: 0.064 0.131 0.250
Pr: 0.564 0.131 0.000
Tm: 0.064 0.618 0.750
Tm: 0.564 0.382 0.250
Tm: 0.064 0.382 0.500
Tm: 0.564 0.382 0.750
Tm: 0.064 0.618 0.250
Tm: 0.564 0.618 0.000
Er: 0.064 0.382 0.000
Er: 0.564 0.618 0.500

Computed properties:
Offset from the most stable computed form: 2 meV per atom

=====

3.
Below is Pr3Er8Tm2 after structural relaxation, with properties calculated at the GGA-PBE level.

Lattice parameters (Å, degrees): 13.228 8.925 12.949 115.51 54.47 137.83
Fractional positions:
Er: 0.335 0.299 0.109
Er: 0.803 0.385 0.274
Er: 0.197 0.615 0.726
Er: 0.536 0.701 0.609
Er: 0.109 0.113 0.674
Er: 0.504 0.113 0.826
Er: 0.496 0.887 0.174
Er: 0.821 0.255 0.532
Er: 0.081 0.385 0.226
Er: 0.066 0.745 0.032
Er: 0.179 0.745 0.468
Er: 0.934 0.255 0.968
Er: 0.665 0.701 0.891
Er: 0.919 0.615 0.774
Er: 0.464 0.299 0.391
Er: 0.891 0.887 0.326
Pr: 0.801 0.102 0.750
Pr: 0.619 0.738 0.250
Pr: 0.381 0.262 0.750
Pr: 0.199 0.898 0.250
Pr: 0.500 0.000 0.500
Pr: 0.000 0.000 0.000
Tm: 0.167 0.323 0.448
Tm: 0.656 0.323 0.052
Tm: 0.833 0.677 0.552
Tm: 0.344 0.677 0.948

Computed properties:
Offset from the most stable computed form: 0 meV per atom

=====

4.
Below is Pr4Er7Tm after structural relaxation, with properties calculated at the GGA-PBE level.

Lattice parameters (Å, degrees): 5.886 11.846 6.681 85.07 63.87 75.61
Fractional positions:
Er: 0.207 0.082 0.503
Er: 0.500 0.000 0.000
Er: 0.645 0.487 0.222
Er: 0.034 0.631 0.301
Er: 0.793 0.918 0.497
Er: 0.355 0.513 0.778
Er: 0.966 0.369 0.699
Pr: 0.298 0.292 0.112
Pr: 0.702 0.708 0.888
Pr: 0.359 0.776 0.507
Pr: 0.641 0.224 0.493
Tm: 0.000 0.000 0.000

Computed properties:
Offset from the most stable computed form: 196 meV per atom

=====

5.
Below is Pr2Er3Tm8 after structural relaxation, with properties calculated at the GGA-PBE level.

Lattice parameters (Å, degrees): 5.450 7.537 11.061 109.93 90.01 90.00
Fractional positions:
Pr: 0.500 0.240 0.480
Pr: 0.500 0.760 0.520
Tm: 0.500 0.392 0.213
Tm: 0.000 0.341 0.682
Tm: 0.500 0.608 0.787
Tm: 0.000 0.874 0.747
Tm: 0.500 0.821 0.213
Tm: 0.000 0.126 0.253
Tm: 0.000 0.659 0.318
Tm: 0.500 0.179 0.787
Er: 0.000 0.286 0.000
Er: 0.000 0.714 0.000
Er: 0.500 0.000 0.000

=====

6.
Below is Pr6Er3Tm after structural relaxation, with properties calculated at the GGA-PBE level.

Lattice parameters (Å, degrees): 6.425 11.160 11.160 121.36 90.00 90.00
Fractional positions:
Pr: 0.548 0.283 0.371
Pr: 0.663 0.282 0.718
Pr: 0.548 0.629 0.717
Pr: 0.048 0.371 0.283
Pr: 0.347 0.063 0.489
Pr: 0.048 0.717 0.629
Pr: 0.847 0.489 0.063
Pr: 0.847 0.937 0.511
Pr: 0.347 0.511 0.937
Pr: 0.163 0.718 0.282
Pr: 0.391 0.967 0.033
Pr: 0.891 0.033 0.967
Tm: 0.604 0.809 0.191
Tm: 0.104 0.191 0.809
Er: 0.084 0.388 0.612
Er: 0.584 0.612 0.388
Er: 0.477 0.949 0.720
Er: 0.977 0.051 0.280
Er: 0.477 0.280 0.051
Er: 0.977 0.720 0.949

=====

7.
Below is Pr6Er8Tm after structural relaxation, with properties calculated at the GGA-PBE level.

Lattice parameters (Å, degrees): 9.082 9.082 8.736 58.68 58.68 60.00
Fractional positions:
Er: 0.247 0.286 0.580
Er: 0.888 0.247 0.580
Er: 0.753 0.714 0.420
Er: 0.112 0.753 0.420
Er: 0.714 0.112 0.420
Er: 0.286 0.888 0.580
Er: 0.577 0.577 0.270
Er: 0.423 0.423 0.730
Pr: 0.901 0.772 0.865
Pr: 0.462 0.901 0.865
Pr: 0.538 0.099 0.135
Pr: 0.099 0.228 0.135
Pr: 0.772 0.462 0.865
Pr: 0.228 0.538 0.135
Tm: 0.000 0.000 0.000

=====

8.
Below is Pr2ErTm2 after structural relaxation, with properties calculated at the GGA-PBE level.

Lattice parameters (Å, degrees): 5.694 3.662 16.186 96.50 100.13 90.00
Fractional positions:
Pr: 0.727 0.977 0.453
Pr: 0.626 0.876 0.253
Pr: 0.374 0.124 0.747
Pr: 0.273 0.023 0.547
Tm: 0.540 0.290 0.080
Tm: 0.460 0.710 0.920
Tm: 0.052 0.802 0.103
Tm: 0.948 0.198 0.897
Er: 0.832 0.582 0.665
Er: 0.168 0.418 0.335

Computed properties:
Offset from the most stable computed form: 101 meV per atom

=====

Number 1: ΔH_f (0 K) 0.232 eV per atom, DFT total energy -4.38 eV/atom. Number 2: ΔH_f (0 K) 0.034 eV per atom, DFT total energy -4.60 eV/atom. Number 3: ΔH_f (0 K) 0.145 eV per atom, DFT total energy -4.45 eV/atom. Number 4: ΔH_f (0 K) 0.287 eV per atom, DFT total energy -4.34 eV/atom. Number 5: ΔH_f (0 K) 0.247 eV per atom, DFT total energy -4.29 eV/atom. Number 6: ΔH_f (0 K) 0.140 eV per atom, DFT total energy -4.54 eV/atom. Number 7: ΔH_f (0 K) 0.119 eV per atom, DFT total energy -4.52 eV/atom. Number 8: ΔH_f (0 K) 0.137 eV per atom, DFT total energy -4.48 eV/atom.